The following is a PBE calculation of crystalline AcHg2Pd2Pt at its relaxed geometry, from Alexandria via LeMat-Bulk.

Lattice parameters (Å, degrees): 5.317 5.317 6.645 113.58 113.58 90.00
Positions (direct):
Pd 0.240 0.240 0.481
Pd 0.760 0.760 0.519
Ac 0.500 0.500 0.000
Pt 0.000 0.000 0.000
Hg 0.250 0.750 0.500
Hg 0.750 0.250 0.500

## Properties
Calculated formation energy in eV/atom: -0.1376
Space group: I4/mmm, No. 139
Volume in Å³/cell: 154.9
VASP energy in eV per atom: -3.66